Dy3Ho3Ni2 after structural relaxation. Source: Alexandria via LeMat-Bulk, functional PBE.

Unit cell a=3.6220 b=6.7631 c=18.2691 alpha=90.00 beta=90.00 gamma=105.53
Positions (direct):
Dy1 0.3237 0.6474 0.9374
Dy2 0.6763 0.3526 0.0626
Dy3 0.5502 0.1004 0.7500
Dy4 0.6763 0.3526 0.4374
Dy5 0.3237 0.6474 0.5626
Dy6 0.4498 0.8996 0.2500
Ho1 0.0619 0.1239 0.9147
Ho2 0.9381 0.8761 0.4147
Ho3 0.7282 0.4564 0.2500
Ho4 0.0619 0.1239 0.5853
Ho5 0.2718 0.5436 0.7500
Ho6 0.9381 0.8761 0.0853
Ni1 0.3003 0.6007 0.1392
Ni2 0.3003 0.6007 0.3608
Ni3 0.6997 0.3993 0.8608
Ni4 0.6997 0.3993 0.6392

## Properties
Space-group type: Cmcm (63)
E in eV/atom: -5.0477
Crystal system: orthorhombic

DyHo3Ni2 after structural relaxation. Source: Alexandria via LeMat-Bulk, functional PBE.

Unit cell a=3.8643 b=8.2285 c=9.8084 alpha=77.09 beta=78.64 gamma=76.42
Positions (direct):
Ho1 0.4180 0.2231 0.9410
Ho2 0.5820 0.7769 0.0590
Ho3 0.5823 0.2754 0.5599
Ho4 0.8456 0.0624 0.2463
Ho5 0.4177 0.7246 0.4401
Ho6 0.1544 0.9376 0.7537
Ni1 0.7686 0.9124 0.5503
Ni2 0.2314 0.0876 0.4497
Ni3 0.2313 0.5880 0.9495
Ni4 0.7687 0.4120 0.0505
Dy1 0.1540 0.4379 0.2540
Dy2 0.8460 0.5621 0.7460

## Properties
Space-group type: C2/m (12)
Distance to the lowest polymorph of the same formula in eV per atom: 0.000
Crystal system: monoclinic